Computed, not measured: an optimized crystal structure of Na2SrYBe at the PBEsol level of DFT.

Structure (CIF):
```
data_Na2SrYBe
_space_group_name_H-M_alt 'P 1'
_space_group_IT_number 1
_cell_length_a 5.5105
_cell_length_b 5.5105
_cell_length_c 5.3814
_cell_angle_alpha 90.00
_cell_angle_beta 90.00
_cell_angle_gamma 90.00
loop_
_space_group_symop_operation_xyz
'x,y,z'
loop_
_atom_site_label
_atom_site_type_symbol
_atom_site_fract_x
_atom_site_fract_y
_atom_site_fract_z
Na1 Na 0.0000 0.5000 0.0000
Na2 Na 0.5000 0.0000 0.0000
Sr1 Sr 0.0000 0.0000 0.5000
Y1 Y 0.5000 0.5000 0.5000
Be1 Be 0.5000 0.5000 0.0000
```

total magnetization = 0.001 Bohr magnetons per cell
VASP energy = -0.1902 Ry per atom
energy of formation from the pure elements = 0.5051 eV per atom